(1)
Compound: Sm4TlCd3
Source: Alexandria
Functional: PBE
Structure: optimized geometry

a = 5.3779 Å, b = 5.3779 Å, c = 15.5200 Å
α = 90.00°, β = 90.00°, γ = 90.00°
Space group I4/mmm (No. 139)
One atom of each set of equivalent atoms:
Sm 0.0000 0.5000 0.1266 (multiplicity 8)
Tl 0.0000 0.0000 0.0000 (multiplicity 2)
Cd 0.0000 0.0000 0.2509 (multiplicity 4)
Cd 0.0000 0.0000 0.5000 (multiplicity 2)

Calculated values
The value obtained for the spin magnetization is 1.52 μB per formula unit. For the energy relative to the elements, the calculation gives -0.333 eV per atom.



(2)
Compound: KBeOs2Br
Source: Alexandria
Functional: PBE
Structure: optimized geometry

a = 4.6975 Å, b = 4.6975 Å, c = 4.6976 Å
α = 90.00°, β = 90.00°, γ = 90.00°
Space group P4/mmm (No. 123)
One atom of each set of equivalent atoms:
K 0.0000 0.0000 0.0000 (multiplicity 1)
Be 0.5000 0.5000 0.0000 (multiplicity 1)
Os 0.0000 0.5000 0.5000 (multiplicity 2)
Br 0.5000 0.5000 0.5000 (multiplicity 1)

Calculated values
As for the uncorrected energy: -3.670 eV/atom. The value obtained for the spin magnetization is 0.00 μB per formula unit.



(3)
Compound: Ni3BiSe
Source: Alexandria
Functional: PBE
Structure: optimized geometry

a = 4.4573 Å, b = 4.4573 Å, c = 4.4573 Å
α = 90.00°, β = 90.00°, γ = 90.00°
Space group Pm-3m (No. 221)
One atom of each set of equivalent atoms:
Ni 0.0000 0.0000 0.5000 (multiplicity 3)
Bi 0.5000 0.5000 0.5000 (multiplicity 1)
Se 0.0000 0.0000 0.0000 (multiplicity 1)

Calculated values
As for the uncorrected energy: -4.681 eV/atom. The value obtained for the spin magnetization is 0.00 μB per formula unit.



(4)
Compound: NaLiSmPb
Source: Alexandria
Functional: PBE
Structure: optimized geometry

a = 7.5357 Å, b = 7.5357 Å, c = 7.5357 Å
α = 90.00°, β = 90.00°, γ = 90.00°
Space group F-43m (No. 216)
One atom of each set of equivalent atoms:
Na 0.0000 0.0000 0.0000 (multiplicity 4)
Li 0.2500 0.2500 0.7500 (multiplicity 4)
Sm 0.0000 0.0000 0.5000 (multiplicity 4)
Pb 0.2500 0.2500 0.2500 (multiplicity 4)

Calculated values
The value obtained for the spin magnetization is 0.00 μB per formula unit. For the energy relative to the elements, the calculation gives -0.205 eV per atom.



(5)
Compound: LaMg3Ga
Source: Alexandria
Functional: PBE
Structure: optimized geometry

a = 5.1635 Å, b = 5.1635 Å, c = 5.1635 Å
α = 90.00°, β = 90.00°, γ = 90.00°
Space group Pm-3m (No. 221)
One atom of each set of equivalent atoms:
La 0.0000 0.0000 0.0000 (multiplicity 1)
Mg 0.0000 0.5000 0.5000 (multiplicity 3)
Ga 0.5000 0.5000 0.5000 (multiplicity 1)

Calculated values
The value obtained for the spin magnetization is 0.00 μB per formula unit. For the energy relative to the elements, the calculation gives 0.115 eV per atom.



(6)
Compound: LiHgMo2
Source: Alexandria
Functional: PBE
Structure: optimized geometry

a = 3.2710 Å, b = 3.2710 Å, c = 6.2417 Å
α = 90.00°, β = 90.00°, γ = 90.00°
Space group P4mm (No. 99)
One atom of each set of equivalent atoms:
Li 0.0000 0.0000 0.0000 (multiplicity 1)
Hg 0.5000 0.5000 0.7816 (multiplicity 1)
Mo 0.0000 0.0000 0.4566 (multiplicity 1)
Mo 0.5000 0.5000 0.2665 (multiplicity 1)

Calculated values
The value obtained for the spin magnetization is 0.00 μB per formula unit. For the energy relative to the elements, the calculation gives 0.255 eV per atom.



Question: Which value of spin magnetization does entry 3 give?
Answer: 0.00 μB per formula unit



Question: spin magnetization of number 6 (LiHgMo2)?
Answer: 0.00 μB per formula unit